{"formula": "ScCrIn2O6", "functional": "PBE+U", "state": "relaxed", "space_group": "R3, No. 146", "energy_ev_per_atom": -7.02, "magmom_total_mub_per_atom": 0.300, "cell": [[2.700, 1.559, 4.793], [-2.700, 1.559, 4.793], [0.000, -3.118, 4.793]], "species": ["Sc", "Cr", "In", "In", "O", "O", "O", "O", "O", "O"], "fractional_positions": [[0.000, 0.000, 0.000], [0.508, 0.508, 0.508], [0.213, 0.213, 0.213], [0.719, 0.719, 0.719], [0.136, 0.782, 0.390], [0.296, 0.622, 0.881], [0.390, 0.136, 0.782], [0.622, 0.881, 0.296], [0.782, 0.390, 0.136], [0.881, 0.296, 0.622]]}